Crystalline NbSiTc2 at its relaxed geometry, computed with GGA-PBE.

CIF file:
```
data_NbSiTc2
_space_group_name_H-M_alt 'P n m a'
_space_group_IT_number 62
_space_group_name_Hall '-P 2ac 2n'
_cell_length_a 6.1056
_cell_length_b 7.6030
_cell_length_c 5.2006
_cell_angle_alpha 90.00
_cell_angle_beta 90.00
_cell_angle_gamma 90.00
loop_
_atom_site_label
_atom_site_fract_x
_atom_site_fract_y
_atom_site_fract_z
Nb1 0.0090 0.2500 0.1207
Si1 0.1050 0.7500 0.3993
Tc1 0.1848 0.0381 0.6503
```

---

Crystalline NbSiTc at its relaxed geometry, computed with GGA-PBE.

CIF file:
```
data_NbSiTc
_space_group_name_H-M_alt 'P 4/m m m'
_space_group_IT_number 123
_space_group_name_Hall '-P 4 2'
_cell_length_a 3.0593
_cell_length_b 3.0593
_cell_length_c 9.6854
_cell_angle_alpha 90.00
_cell_angle_beta 90.00
_cell_angle_gamma 90.00
loop_
_atom_site_label
_atom_site_fract_x
_atom_site_fract_y
_atom_site_fract_z
Nb1 0.0000 0.0000 0.1728
Si1 0.5000 0.5000 0.3591
Tc1 0.0000 0.0000 0.5000
Tc2 0.5000 0.5000 0.0000
```

---

Crystalline NbSi2Tc at its relaxed geometry, computed with GGA-PBE.

CIF file:
```
data_NbSi2Tc
_space_group_name_H-M_alt 'F -4 3 m'
_space_group_IT_number 216
_space_group_name_Hall 'F -4 2 3'
_cell_length_a 6.2229
_cell_length_b 6.2229
_cell_length_c 6.2229
_cell_angle_alpha 90.00
_cell_angle_beta 90.00
_cell_angle_gamma 90.00
loop_
_atom_site_label
_atom_site_fract_x
_atom_site_fract_y
_atom_site_fract_z
Nb1 0.0000 0.0000 0.0000
Si1 0.0000 0.0000 0.5000
Si2 0.2500 0.2500 0.2500
Tc1 0.2500 0.2500 0.7500
```

---

Crystalline NbSiTc at its relaxed geometry, computed with GGA-PBE.

CIF file:
```
data_NbSiTc
_space_group_name_H-M_alt 'F -4 3 m'
_space_group_IT_number 216
_space_group_name_Hall 'F -4 2 3'
_cell_length_a 5.9743
_cell_length_b 5.9743
_cell_length_c 5.9743
_cell_angle_alpha 90.00
_cell_angle_beta 90.00
_cell_angle_gamma 90.00
loop_
_atom_site_label
_atom_site_fract_x
_atom_site_fract_y
_atom_site_fract_z
Nb1 0.0000 0.0000 0.0000
Si1 0.0000 0.0000 0.5000
Tc1 0.2500 0.2500 0.2500
```

---

Crystalline NbSiTc2 at its relaxed geometry, computed with GGA-PBE.

CIF file:
```
data_NbSiTc2
_space_group_name_H-M_alt 'P 63/m m c'
_space_group_IT_number 194
_space_group_name_Hall '-P 6c 2c'
_cell_length_a 4.4604
_cell_length_b 4.4604
_cell_length_c 7.4447
_cell_angle_alpha 90.00
_cell_angle_beta 90.00
_cell_angle_gamma 120.00
loop_
_atom_site_label
_atom_site_fract_x
_atom_site_fract_y
_atom_site_fract_z
Nb1 0.0000 0.0000 0.0000
Si1 0.3333 0.6667 0.2500
Tc1 0.3333 0.6667 0.5910
```

---

Crystalline NbSiTc2 at its relaxed geometry, computed with GGA-PBE.

CIF file:
```
data_NbSiTc2
_space_group_name_H-M_alt 'P 63/m m c'
_space_group_IT_number 194
_space_group_name_Hall '-P 6c 2c'
_cell_length_a 4.4527
_cell_length_b 4.4527
_cell_length_c 7.2275
_cell_angle_alpha 90.00
_cell_angle_beta 90.00
_cell_angle_gamma 120.00
loop_
_atom_site_label
_atom_site_fract_x
_atom_site_fract_y
_atom_site_fract_z
Nb1 0.0000 0.0000 0.2500
Si1 0.3333 0.6667 0.2500
Tc1 0.3333 0.6667 0.5717
```

---

Crystalline NbSiTc2 at its relaxed geometry, computed with GGA-PBE.

CIF file:
```
data_NbSiTc2
_space_group_name_H-M_alt 'P 63/m m c'
_space_group_IT_number 194
_space_group_name_Hall '-P 6c 2c'
_cell_length_a 4.1715
_cell_length_b 4.1715
_cell_length_c 8.4457
_cell_angle_alpha 90.00
_cell_angle_beta 90.00
_cell_angle_gamma 120.00
loop_
_atom_site_label
_atom_site_fract_x
_atom_site_fract_y
_atom_site_fract_z
Nb1 0.3333 0.6667 0.2500
Si1 0.0000 0.0000 0.0000
Tc1 0.3333 0.6667 0.5974
```

---

Crystalline Nb3SiTe6 at its relaxed geometry, computed with GGA-PBE.

CIF file:
```
data_Nb3SiTe6
_space_group_name_H-M_alt 'P n m a'
_space_group_IT_number 62
_space_group_name_Hall '-P 2ac 2n'
_cell_length_a 6.4144
_cell_length_b 14.6130
_cell_length_c 11.6258
_cell_angle_alpha 90.00
_cell_angle_beta 90.00
_cell_angle_gamma 90.00
loop_
_atom_site_label
_atom_site_fract_x
_atom_site_fract_y
_atom_site_fract_z
Nb1 0.0316 0.2500 0.1881
Nb2 0.1678 0.7500 0.3355
Nb3 0.1969 0.7500 0.0338
Si1 0.0751 0.7500 0.5747
Te1 0.1444 0.1251 0.9979
Te2 0.1504 0.1190 0.6829
Te3 0.2040 0.1217 0.3449
```

---

Crystalline Nb2SiTe2 at its relaxed geometry, computed with GGA-PBE.

CIF file:
```
data_Nb2SiTe2
_space_group_name_H-M_alt 'I 4/m m m'
_space_group_IT_number 139
_space_group_name_Hall '-I 4 2'
_cell_length_a 4.4274
_cell_length_b 4.4274
_cell_length_c 12.2208
_cell_angle_alpha 90.00
_cell_angle_beta 90.00
_cell_angle_gamma 90.00
loop_
_atom_site_label
_atom_site_fract_x
_atom_site_fract_y
_atom_site_fract_z
Nb1 0.0000 0.0000 0.1093
Si1 0.0000 0.0000 0.5000
Te1 0.0000 0.5000 0.2500
```

---

Crystalline ThNbSi at its relaxed geometry, computed with GGA-PBE.

CIF file:
```
data_ThNbSi
_space_group_name_H-M_alt 'F -4 3 m'
_space_group_IT_number 216
_space_group_name_Hall 'F -4 2 3'
_cell_length_a 6.6102
_cell_length_b 6.6102
_cell_length_c 6.6102
_cell_angle_alpha 90.00
_cell_angle_beta 90.00
_cell_angle_gamma 90.00
loop_
_atom_site_label
_atom_site_fract_x
_atom_site_fract_y
_atom_site_fract_z
Th1 0.0000 0.0000 0.0000
Nb1 0.0000 0.0000 0.5000
Si1 0.2500 0.2500 0.7500
```

---

Crystalline Nb3TlSi5 at its relaxed geometry, computed with GGA-PBE.

CIF file:
```
data_Nb3TlSi5
_space_group_name_H-M_alt 'P 6/m m m'
_space_group_IT_number 191
_space_group_name_Hall '-P 6 2'
_cell_length_a 5.6605
_cell_length_b 5.6605
_cell_length_c 6.4478
_cell_angle_alpha 90.00
_cell_angle_beta 90.00
_cell_angle_gamma 120.00
loop_
_atom_site_label
_atom_site_fract_x
_atom_site_fract_y
_atom_site_fract_z
Nb1 0.0000 0.5000 0.0000
Tl1 0.0000 0.0000 0.5000
Si1 0.0000 0.0000 0.0000
Si2 0.3333 0.6667 0.3186
```

---

Crystalline TmNbSi at its relaxed geometry, computed with GGA-PBE.

CIF file:
```
data_TmNbSi
_space_group_name_H-M_alt 'F -4 3 m'
_space_group_IT_number 216
_space_group_name_Hall 'F -4 2 3'
_cell_length_a 6.6759
_cell_length_b 6.6759
_cell_length_c 6.6759
_cell_angle_alpha 90.00
_cell_angle_beta 90.00
_cell_angle_gamma 90.00
loop_
_atom_site_label
_atom_site_fract_x
_atom_site_fract_y
_atom_site_fract_z
Tm1 0.0000 0.0000 0.0000
Nb1 0.2500 0.2500 0.7500
Si1 0.2500 0.2500 0.2500
```

---

Crystalline TmNbSi at its relaxed geometry, computed with GGA-PBE.

CIF file:
```
data_TmNbSi
_space_group_name_H-M_alt 'F -4 3 m'
_space_group_IT_number 216
_space_group_name_Hall 'F -4 2 3'
_cell_length_a 6.3811
_cell_length_b 6.3811
_cell_length_c 6.3811
_cell_angle_alpha 90.00
_cell_angle_beta 90.00
_cell_angle_gamma 90.00
loop_
_atom_site_label
_atom_site_fract_x
_atom_site_fract_y
_atom_site_fract_z
Tm1 0.0000 0.0000 0.0000
Nb1 0.0000 0.0000 0.5000
Si1 0.2500 0.2500 0.7500
```

---

Number 1: magnetization 0.006 μB per formula unit, uncorrected energy -151.429 eV per cell. Number 2: magnetization 0.012 μB per formula unit, uncorrected energy -53.267 eV per cell. Number 3: magnetization 0.003 μB per formula unit, uncorrected energy -125.972 eV per cell. Number 4: magnetization 0.003 μB per formula unit, uncorrected energy -103.376 eV per cell. Number 5: magnetization 0.007 μB per formula unit, uncorrected energy -72.412 eV per cell. Number 6: magnetization 0.008 μB per formula unit, uncorrected energy -71.948 eV per cell. Number 7: magnetization 0.004 μB per formula unit, uncorrected energy -73.675 eV per cell. Number 8: magnetization 0.028 μB per formula unit, uncorrected energy -237.687 eV per cell. Number 9: magnetization 0.007 μB per formula unit, uncorrected energy -57.645 eV per cell. Number 10: magnetization 0.626 μB per formula unit, uncorrected energy -91.399 eV per cell. Number 11: magnetization 0.000 μB per formula unit, uncorrected energy -59.439 eV per cell. Number 12: magnetization 3.533 μB per formula unit, uncorrected energy -69.003 eV per cell. Number 13: magnetization 1.072 μB per formula unit, uncorrected energy -81.327 eV per cell.